# Li6Mn3Cr2Fe3O16, optimized geometry, DFT GGA+U
# Size of the total moment (Bohr magnetons per cell): 29.0
# DFT total energy (eV per atom): -6.52
# D(E_F) (states/eV/cell): 0.1
data_Li6Mn3Cr2Fe3O16
_cell_length_a 5.8299
_cell_length_b 5.8804
_cell_length_c 9.5351
_cell_angle_alpha 89.14
_cell_angle_beta 89.41
_cell_angle_gamma 60.56
_space_group_name_H-M_alt 'P 1'
_space_group_IT_number 1
loop_
_space_group_symop_operation_xyz
'x,y,z'
loop_
_atom_site_label
_atom_site_type_symbol
_atom_site_fract_x
_atom_site_fract_y
_atom_site_fract_z
Li1 Li 0.0000 0.0000 0.0000
Li2 Li 0.9999 0.4747 0.0078
Li3 Li 0.3473 0.2979 0.5054
Li4 Li 0.3492 0.8127 0.5055
Li5 Li 0.5076 0.4814 0.0018
Li6 Li 0.8259 0.8111 0.5050
Mn1 Mn 0.0022 0.4706 0.2754
Mn2 Mn 0.3383 0.3064 0.7753
Mn3 Mn 0.8321 0.8101 0.7742
Cr1 Cr 0.5016 0.9743 0.0464
Cr2 Cr 0.8329 0.3075 0.5501
Fe1 Fe 0.0021 0.9738 0.2733
Fe2 Fe 0.3348 0.8108 0.7712
Fe3 Fe 0.5046 0.4717 0.2727
O1 O 0.9999 0.4885 0.6626
O2 O 0.0034 0.9598 0.6534
O3 O 0.1379 0.1661 0.4043
O4 O 0.1514 0.6728 0.8847
O5 O 0.1638 0.6320 0.3844
O6 O 0.2056 0.1399 0.9056
O7 O 0.3243 0.3199 0.1566
O8 O 0.3307 0.8022 0.1532
O9 O 0.4881 0.4712 0.6525
O10 O 0.5189 0.9481 0.6574
O11 O 0.6566 0.6818 0.9036
O12 O 0.6610 0.1217 0.8990
O13 O 0.6894 0.1565 0.4072
O14 O 0.6969 0.6030 0.4022
O15 O 0.8439 0.3136 0.1587
O16 O 0.8473 0.7924 0.1594